Entry 1:
Compound: Tm4Pd2Pb
Source: the Alexandria database
Functional: PBE
Structure: optimized geometry

ΔH_f (0 K): -12.48 kcal/mol of atoms
Space group: R-3m

```
7
Lattice="2.3050 1.3308 10.2001 -2.3050 1.3308 10.2001 0.0000 -2.6616 10.2001" Properties=species:S:1:pos:R:3 pbc="T T T"
Tm 0.0000 0.0000 3.4708
Tm 0.0000 0.0000 9.1593
Tm 0.0000 0.0000 21.4409
Tm 0.0000 0.0000 27.1294
Pd 0.0000 0.0000 12.1801
Pd 0.0000 0.0000 18.4202
Pb 0.0000 0.0000 15.3001
```



Entry 2:
Compound: SbRh6
Source: the Alexandria database
Functional: PBE
Structure: optimized geometry

Uncorrected formation energy: 0.944 eV/atom
Space group: Im-3m

```
14
Lattice="6.7460 0.0000 0.0000 0.0000 6.7460 0.0000 0.0000 0.0000 6.7460" Properties=species:S:1:pos:R:3 pbc="T T T"
Sb 0.0000 0.0000 0.0000
Sb 3.3730 3.3730 3.3730
Rh 0.0000 1.6865 3.3730
Rh 0.0000 3.3730 1.6865
Rh 0.0000 3.3730 5.0595
Rh 0.0000 5.0595 3.3730
Rh 1.6865 0.0000 3.3730
Rh 1.6865 3.3730 0.0000
Rh 3.3730 0.0000 1.6865
Rh 3.3730 0.0000 5.0595
Rh 3.3730 1.6865 0.0000
Rh 3.3730 5.0595 0.0000
Rh 5.0595 0.0000 3.3730
Rh 5.0595 3.3730 0.0000
```



Entry 3:
Compound: KPuAg10
Source: the Alexandria database
Functional: PBE
Structure: optimized geometry

ΔH_f (0 K): 0.83 kcal/mol of atoms
Space group: Pmmm

```
12
Lattice="4.6627 0.0000 0.0000 0.0000 5.7060 0.0000 0.0000 0.0000 9.9387" Properties=species:S:1:pos:R:3 pbc="T T T"
K 0.0000 0.0000 0.0000
Pu 0.0000 2.8530 4.9693
Ag 0.0000 0.0000 3.3653
Ag 0.0000 0.0000 6.5734
Ag 0.0000 2.8530 1.7144
Ag 0.0000 2.8530 8.2243
Ag 2.3314 0.0000 4.9693
Ag 2.3314 1.4588 2.5675
Ag 2.3314 1.4588 7.3712
Ag 2.3314 2.8530 0.0000
Ag 2.3314 4.2472 2.5675
Ag 2.3314 4.2472 7.3712
```



Please write out number 2 again, unchanged.
Compound: SbRh6
Source: the Alexandria database
Functional: PBE
Structure: optimized geometry

Uncorrected formation energy: 0.944 eV/atom
Space group: Im-3m

```
14
Lattice="6.7460 0.0000 0.0000 0.0000 6.7460 0.0000 0.0000 0.0000 6.7460" Properties=species:S:1:pos:R:3 pbc="T T T"
Sb 0.0000 0.0000 0.0000
Sb 3.3730 3.3730 3.3730
Rh 0.0000 1.6865 3.3730
Rh 0.0000 3.3730 1.6865
Rh 0.0000 3.3730 5.0595
Rh 0.0000 5.0595 3.3730
Rh 1.6865 0.0000 3.3730
Rh 1.6865 3.3730 0.0000
Rh 3.3730 0.0000 1.6865
Rh 3.3730 0.0000 5.0595
Rh 3.3730 1.6865 0.0000
Rh 3.3730 5.0595 0.0000
Rh 5.0595 0.0000 3.3730
Rh 5.0595 3.3730 0.0000
```



> Number 1 is which compound?

Tm4Pd2Pb



> Which formula does entry 1 have?

Tm4Pd2Pb